Pr4ScSe5 | PBE | optimized geometry

For the raw total energy, the calculation gives -6.04 eV per atom. The calculation puts the raw formation energy at -1.754 eV per atom.

The space group is I4/mmm (No. 139) and the conventional cell measures 4.2006, 4.2006 and 29.7553 Å, with angles of 90.00, 90.00 and 90.00 degrees. Symmetry generates all atoms from Pr at (0.0000, 0.0000, 0.1008), Pr at (0.0000, 0.0000, 0.3067), Sc at (0.0000, 0.0000, 0.5000), Se at (0.0000, 0.0000, 0.0000), Se at (0.0000, 0.0000, 0.2031) and Se at (0.0000, 0.0000, 0.4083).

Pr3ScSe4 | PBE | optimized geometry

For the raw total energy, the calculation gives -6.07 eV per atom. The calculation puts the raw formation energy at -1.747 eV per atom.

The space group is Cmmm (No. 65) and the conventional cell measures 8.4764, 11.8260 and 4.1175 Å, with angles of 90.00, 90.00 and 90.00 degrees. Symmetry generates all atoms from Pr at (0.0000, 0.0000, 0.0000), Pr at (0.2500, 0.2500, 0.5000), Sc at (0.0000, 0.5000, 0.0000), Se at (0.0000, 0.2614, 0.0000) and Se at (0.2281, 0.5000, 0.5000).

Pr3Sm2ScSe6 | PBE | optimized geometry

For the raw total energy, the calculation gives -6.03 eV per atom. The calculation puts the raw formation energy at -1.779 eV per atom.

The space group is C2/m (No. 12) and the conventional cell measures 18.2286, 4.1429 and 8.4256 Å, with angles of 90.00, 104.06 and 90.00 degrees. Symmetry generates all atoms from Pr at (0.0000, 0.0000, 0.0000), Pr at (0.1711, 0.5000, 0.3362), Sm at (0.1665, 0.5000, 0.8336), Sc at (0.0000, 0.0000, 0.5000), Se at (0.0005, 0.5000, 0.2715), Se at (0.1565, 0.0000, 0.5837) and Se at (0.1682, 0.0000, 0.0791).

Pr3SmSc2Se6 | PBE | optimized geometry

For the raw total energy, the calculation gives -6.13 eV per atom. The calculation puts the raw formation energy at -1.740 eV per atom.

The space group is C2/m (No. 12) and the conventional cell measures 7.0630, 12.2785 and 7.2587 Å, with angles of 90.00, 109.06 and 90.00 degrees. Symmetry generates all atoms from Pr at (0.0000, 0.0000, 0.0000), Pr at (0.0000, 0.3410, 0.0000), Sm at (0.0000, 0.5000, 0.5000), Sc at (0.0000, 0.1655, 0.5000), Se at (0.2254, 0.0000, 0.7214) and Se at (0.2502, 0.1745, 0.2723).

PrSm2ScSe4 | PBE | optimized geometry

For the raw total energy, the calculation gives -6.05 eV per atom. The calculation puts the raw formation energy at -1.734 eV per atom.

The space group is P2/m (No. 10) and the conventional cell measures 7.1279, 4.0817 and 7.2524 Å, with angles of 90.00, 108.87 and 90.00 degrees. Symmetry generates all atoms from Pr at (0.0000, 0.0000, 0.0000), Sm at (0.5000, 0.0000, 0.5000), Sm at (0.5000, 0.5000, 0.0000), Sc at (0.0000, 0.5000, 0.5000), Se at (0.2362, 0.0000, 0.7312) and Se at (0.2469, 0.5000, 0.2636).

Sr2PrScSe4 | PBE | optimized geometry

For the raw total energy, the calculation gives -5.37 eV per atom. The calculation puts the raw formation energy at -1.823 eV per atom.

The space group is P2/m (No. 10) and the conventional cell measures 7.3003, 4.2160 and 7.4655 Å, with angles of 90.00, 109.02 and 90.00 degrees. Symmetry generates all atoms from Sr at (0.0000, 0.0000, 0.0000), Sr at (0.5000, 0.5000, 0.0000), Pr at (0.0000, 0.5000, 0.5000), Sc at (0.5000, 0.0000, 0.5000), Se at (0.2596, 0.0000, 0.7352) and Se at (0.2717, 0.5000, 0.2744).

TbPr2ScSe4 | PBE | optimized geometry

For the raw total energy, the calculation gives -6.06 eV per atom. The calculation puts the raw formation energy at -1.752 eV per atom.

The space group is P2/m (No. 10) and the conventional cell measures 7.0697, 4.0573 and 7.3314 Å, with angles of 90.00, 108.58 and 90.00 degrees. Symmetry generates all atoms from Tb at (0.0000, 0.0000, 0.0000), Pr at (0.0000, 0.5000, 0.5000), Pr at (0.5000, 0.0000, 0.5000), Sc at (0.5000, 0.5000, 0.0000), Se at (0.2510, 0.5000, 0.2288) and Se at (0.2674, 0.0000, 0.7769).

TbPr3Sc2Se6 | PBE | optimized geometry

For the raw total energy, the calculation gives -6.12 eV per atom. The calculation puts the raw formation energy at -1.739 eV per atom.

The space group is C2/m (No. 12) and the conventional cell measures 7.0144, 12.1979 and 7.2746 Å, with angles of 90.00, 108.88 and 90.00 degrees. Symmetry generates all atoms from Tb at (0.0000, 0.0000, 0.0000), Pr at (0.0000, 0.1614, 0.5000), Pr at (0.0000, 0.5000, 0.5000), Sc at (0.0000, 0.3338, 0.0000), Se at (0.2290, 0.5000, 0.2202) and Se at (0.2469, 0.1722, 0.2248).

Tb3Pr4ScSe8 | PBE | optimized geometry

For the raw total energy, the calculation gives -5.98 eV per atom. The calculation puts the raw formation energy at -1.778 eV per atom.

The space group is R-3m (No. 166, hexagonal axes) and the conventional cell measures 8.2159, 8.2159 and 20.8693 Å, with angles of 90.00, 90.00 and 120.00 degrees. Symmetry generates all atoms from Tb at (0.0000, 0.5000, 0.0000), Pr at (0.0000, 0.0000, 0.5000), Pr at (0.0000, 0.5000, 0.5000), Sc at (0.0000, 0.0000, 0.0000), Se at (0.0000, 0.0000, 0.2554) and Se at (0.0082, 0.5041, 0.7428).

Tb2PrScSe4 | PBE | optimized geometry

For the raw total energy, the calculation gives -6.00 eV per atom. The calculation puts the raw formation energy at -1.714 eV per atom.

The space group is P2/m (No. 10) and the conventional cell measures 7.0463, 4.0435 and 7.2021 Å, with angles of 90.00, 108.86 and 90.00 degrees. Symmetry generates all atoms from Tb at (0.0000, 0.0000, 0.0000), Tb at (0.0000, 0.5000, 0.5000), Pr at (0.5000, 0.0000, 0.5000), Sc at (0.5000, 0.5000, 0.0000), Se at (0.2459, 0.5000, 0.2346) and Se at (0.2566, 0.0000, 0.7659).

Tb2PrScSe6 | PBE | optimized geometry

For the raw total energy, the calculation gives -5.91 eV per atom. The calculation puts the raw formation energy at -1.786 eV per atom.

The space group is R3 (No. 146, hexagonal axes) and the conventional cell measures 7.2112, 7.2112 and 19.3799 Å, with angles of 90.00, 90.00 and 120.00 degrees. Symmetry generates all atoms from Tb at (0.0000, 0.0000, 0.0000), Tb at (0.0000, 0.0000, 0.4935), Pr at (0.0000, 0.0000, 0.1984), Sc at (0.0000, 0.0000, 0.6898), Se at (0.0130, 0.7146, 0.5975) and Se at (0.0270, 0.3414, 0.7608).

PrScTeSe | PBE | optimized geometry

For the raw total energy, the calculation gives -5.93 eV per atom. The calculation puts the raw formation energy at -1.499 eV per atom.

The space group is R3m (No. 160, hexagonal axes) and the conventional cell measures 4.1641, 4.1641 and 21.1181 Å, with angles of 90.00, 90.00 and 120.00 degrees. Symmetry generates all atoms from Pr at (0.0000, 0.0000, 0.0000), Sc at (0.0000, 0.0000, 0.5227), Te at (0.0000, 0.0000, 0.7699) and Se at (0.0000, 0.0000, 0.2501).

PrTh2ScSe4 | PBE | optimized geometry

For the raw total energy, the calculation gives -6.57 eV per atom. The calculation puts the raw formation energy at -1.584 eV per atom.

The space group is P2/m (No. 10) and the conventional cell measures 7.0551, 4.1040 and 7.3590 Å, with angles of 90.00, 108.80 and 90.00 degrees. Symmetry generates all atoms from Pr at (0.0000, 0.0000, 0.0000), Th at (0.0000, 0.5000, 0.5000), Th at (0.5000, 0.0000, 0.5000), Sc at (0.5000, 0.5000, 0.0000), Se at (0.2615, 0.5000, 0.2396) and Se at (0.2707, 0.0000, 0.7696).

Pr3ScTl4Se8 | PBE | optimized geometry

For the raw total energy, the calculation gives -4.95 eV per atom. The calculation puts the raw formation energy at -1.328 eV per atom.

The space group is R-3m (No. 166, hexagonal axes) and the conventional cell measures 8.5375, 8.5375 and 23.2386 Å, with angles of 90.00, 90.00 and 120.00 degrees. Symmetry generates all atoms from Pr at (0.0000, 0.5000, 0.0000), Sc at (0.0000, 0.0000, 0.0000), Tl at (0.0000, 0.0000, 0.5000), Tl at (0.0000, 0.5000, 0.5000), Se at (0.0000, 0.0000, 0.2615) and Se at (0.0197, 0.5098, 0.7350).

PrScTl2Se4 | PBE | optimized geometry

For the raw total energy, the calculation gives -5.01 eV per atom. The calculation puts the raw formation energy at -1.292 eV per atom.

The space group is P2/m (No. 10) and the conventional cell measures 7.2351, 4.1738 and 8.1023 Å, with angles of 90.00, 107.21 and 90.00 degrees. Symmetry generates all atoms from Pr at (0.0000, 0.0000, 0.0000), Sc at (0.5000, 0.5000, 0.0000), Tl at (0.0000, 0.5000, 0.5000), Tl at (0.5000, 0.0000, 0.5000), Se at (0.2565, 0.5000, 0.2076) and Se at (0.2862, 0.0000, 0.8015).

PrSc2Tl3Se6 | PBE | optimized geometry

For the raw total energy, the calculation gives -5.07 eV per atom. The calculation puts the raw formation energy at -1.283 eV per atom.

The space group is C2/m (No. 12) and the conventional cell measures 7.1257, 12.3112 and 8.0906 Å, with angles of 90.00, 107.04 and 90.00 degrees. Symmetry generates all atoms from Pr at (0.0000, 0.0000, 0.0000), Sc at (0.0000, 0.3331, 0.0000), Tl at (0.0000, 0.1605, 0.5000), Tl at (0.0000, 0.5000, 0.5000), Se at (0.2091, 0.5000, 0.1963) and Se at (0.2454, 0.1782, 0.2019).

PrTm2ScSe6 | PBE | optimized geometry

For the raw total energy, the calculation gives -5.87 eV per atom. The calculation puts the raw formation energy at -1.777 eV per atom.

The space group is R3 (No. 146, hexagonal axes) and the conventional cell measures 7.1421, 7.1421 and 19.2263 Å, with angles of 90.00, 90.00 and 120.00 degrees. Symmetry generates all atoms from Pr at (0.0000, 0.0000, 0.0000), Tm at (0.0000, 0.0000, 0.2952), Tm at (0.0000, 0.0000, 0.8021), Sc at (0.0000, 0.0000, 0.4899), Se at (0.0216, 0.3448, 0.5600) and Se at (0.0241, 0.7191, 0.3964).

Pr4Tm3ScSe8 | PBE | optimized geometry

For the raw total energy, the calculation gives -5.92 eV per atom. The calculation puts the raw formation energy at -1.750 eV per atom.

The space group is R-3m (No. 166, hexagonal axes) and the conventional cell measures 8.0915, 8.0915 and 21.0523 Å, with angles of 90.00, 90.00 and 120.00 degrees. Symmetry generates all atoms from Pr at (0.0000, 0.0000, 0.0000), Pr at (0.0000, 0.5000, 0.0000), Tm at (0.0000, 0.5000, 0.5000), Sc at (0.0000, 0.0000, 0.5000), Se at (0.0000, 0.0000, 0.2420) and Se at (0.0048, 0.5024, 0.2409).

Pr3TmSc2Se6 | PBE | optimized geometry

For the raw total energy, the calculation gives -6.09 eV per atom. The calculation puts the raw formation energy at -1.727 eV per atom.

The space group is C2/m (No. 12) and the conventional cell measures 6.9619, 12.1034 and 7.3027 Å, with angles of 90.00, 108.63 and 90.00 degrees. Symmetry generates all atoms from Pr at (0.0000, 0.0000, 0.0000), Pr at (0.0000, 0.3359, 0.0000), Tm at (0.0000, 0.5000, 0.5000), Sc at (0.0000, 0.1669, 0.5000), Se at (0.2331, 0.0000, 0.7190) and Se at (0.2435, 0.3303, 0.7215).

Pr3TmSc3Se8 | PBE | optimized geometry

For the raw total energy, the calculation gives -6.15 eV per atom. The calculation puts the raw formation energy at -1.769 eV per atom.

The space group is R-3m (No. 166, hexagonal axes) and the conventional cell measures 8.0143, 8.0143 and 20.3460 Å, with angles of 90.00, 90.00 and 120.00 degrees. Symmetry generates all atoms from Pr at (0.0000, 0.5000, 0.0000), Tm at (0.0000, 0.0000, 0.5000), Sc at (0.0000, 0.5000, 0.5000), Se at (0.0000, 0.0000, 0.2397) and Se at (0.0132, 0.5066, 0.7569).

Pr2TmScSe5 | PBE | optimized geometry

For the raw total energy, the calculation gives -5.48 eV per atom. The calculation puts the raw formation energy at -1.283 eV per atom.

The space group is P4/mmm (No. 123) and the conventional cell measures 5.0924, 5.0924 and 10.4000 Å, with angles of 90.00, 90.00 and 90.00 degrees. Symmetry generates all atoms from Pr at (0.0000, 0.0000, 0.2097), Tm at (0.5000, 0.5000, 0.0000), Sc at (0.5000, 0.5000, 0.5000), Se at (0.0000, 0.0000, 0.5000), Se at (0.0000, 0.5000, 0.0000) and Se at (0.5000, 0.5000, 0.2614).

PrTmSc2Se4 | PBE | optimized geometry

For the raw total energy, the calculation gives -6.13 eV per atom. The calculation puts the raw formation energy at -1.652 eV per atom.

The space group is P2/m (No. 10) and the conventional cell measures 6.9758, 3.9579 and 6.9932 Å, with angles of 90.00, 108.77 and 90.00 degrees. Symmetry generates all atoms from Pr at (0.0000, 0.0000, 0.0000), Tm at (0.5000, 0.5000, 0.0000), Sc at (0.0000, 0.5000, 0.5000), Sc at (0.5000, 0.0000, 0.5000), Se at (0.2547, 0.0000, 0.7335) and Se at (0.2685, 0.5000, 0.2743).

It is found that the total magnetization values, taken in the order of the records, are 0.00, 0.00, 0.00, 0.00, 0.00, 0.00, 0.00, 0.00, 0.00, 0.00, 0.00, 0.00, 0.00, 0.00, 0.00, 0.00, 0.00, 0.00, 0.00, 0.00, 0.00, 0.00 μB per cell.